No. 1
# ScBeBiOs | OQMD | PBE | relaxed
# energy = -6.039 eV per atom
data_ScBeBiOs
_cell_length_a 6.5504
_cell_length_b 6.5504
_cell_length_c 6.5504
_cell_angle_alpha 90.00
_cell_angle_beta 90.00
_cell_angle_gamma 90.00
_symmetry_space_group_name_H-M 'F -4 3 m'
_symmetry_Int_Tables_number 216
_symmetry_space_group_name_Hall 'F -4 2 3'
loop_
_atom_site_label
_atom_site_type_symbol
_atom_site_fract_x
_atom_site_fract_y
_atom_site_fract_z
Sc1 Sc 0.0000 0.0000 0.0000
Be1 Be 0.2500 0.2500 0.2500
Bi1 Bi 0.0000 0.0000 0.5000
Os1 Os 0.2500 0.2500 0.7500



No. 2
# ScBeBiOs | OQMD | PBE | relaxed
# energy = -6.109 eV per atom
data_ScBeBiOs
_cell_length_a 6.4903
_cell_length_b 6.4903
_cell_length_c 6.4903
_cell_angle_alpha 90.00
_cell_angle_beta 90.00
_cell_angle_gamma 90.00
_symmetry_space_group_name_H-M 'F -4 3 m'
_symmetry_Int_Tables_number 216
_symmetry_space_group_name_Hall 'F -4 2 3'
loop_
_atom_site_label
_atom_site_type_symbol
_atom_site_fract_x
_atom_site_fract_y
_atom_site_fract_z
Sc1 Sc 0.0000 0.0000 0.0000
Be1 Be 0.2500 0.2500 0.2500
Bi1 Bi 0.2500 0.2500 0.7500
Os1 Os 0.0000 0.0000 0.5000



No. 3
# ScBeBiOs | OQMD | PBE | relaxed
# energy = -5.952 eV per atom
data_ScBeBiOs
_cell_length_a 6.5405
_cell_length_b 6.5405
_cell_length_c 6.5405
_cell_angle_alpha 90.00
_cell_angle_beta 90.00
_cell_angle_gamma 90.00
_symmetry_space_group_name_H-M 'F -4 3 m'
_symmetry_Int_Tables_number 216
_symmetry_space_group_name_Hall 'F -4 2 3'
loop_
_atom_site_label
_atom_site_type_symbol
_atom_site_fract_x
_atom_site_fract_y
_atom_site_fract_z
Sc1 Sc 0.0000 0.0000 0.0000
Be1 Be 0.0000 0.0000 0.5000
Bi1 Bi 0.2500 0.2500 0.2500
Os1 Os 0.2500 0.2500 0.7500



No. 4
# PaBeBi | OQMD | PBE | relaxed
# energy = -5.385 eV per atom
data_PaBeBi
_cell_length_a 6.5119
_cell_length_b 6.5119
_cell_length_c 6.5119
_cell_angle_alpha 90.00
_cell_angle_beta 90.00
_cell_angle_gamma 90.00
_symmetry_space_group_name_H-M 'F -4 3 m'
_symmetry_Int_Tables_number 216
_symmetry_space_group_name_Hall 'F -4 2 3'
loop_
_atom_site_label
_atom_site_type_symbol
_atom_site_fract_x
_atom_site_fract_y
_atom_site_fract_z
Pa1 Pa 0.0000 0.0000 0.0000
Be1 Be 0.2500 0.2500 0.7500
Bi1 Bi 0.0000 0.0000 0.5000